Material: CrRe2Te
Method: DFT, GGA-PBE
State: relaxed

Summary:
- ΔE_f (raw) (kJ/mol of atoms) = 79

Cell: 4.8512 4.8512 3.0465 Å, 90.00 90.00 114.99°
With the nearest neighbours (Å) after each atom.
Sites, in units of the cell vectors:
Cr 0.0000 0.0000 0.0000  2 Te 2.61, 8 Re 2.86
Re 0.0000 0.5000 0.5000  2 Re 2.61, 4 Cr 2.86, 4 Te 2.86
Re 0.5000 0.0000 0.5000  2 Re 2.61, 4 Cr 2.86, 4 Te 2.86
Te 0.5000 0.5000 0.0000  2 Cr 2.61, 8 Re 2.86